(1)
This record from Alexandria describes YHo5Th4 after structural relaxation. The functional is GGA-PBE.

Cell and atoms, written as POSCAR:
```
YHo5Th4
1.0
3.3989 -0.0010 -0.6925
-0.0553 10.6607 -0.2531
0.0701 1.0119 9.0855
Y Ho Th
1 5 4
Direct
0.5000 0.0000 0.0000
0.1884 0.4063 0.3770
0.1469 0.7593 0.2964
0.8531 0.2407 0.7036
0.5000 0.5000 0.0000
0.8116 0.5937 0.6230
0.6825 0.0855 0.3662
0.0387 0.2486 0.0781
0.3175 0.9145 0.6338
0.9613 0.7514 0.9219
```

## Properties
- calculated volume (Å³/cell) = 330.64
- E_form (eV per atom) = 0.22
- crystal system = triclinic
- E above lowest polymorph (eV/atom) = 0.000

(2)
This record from Alexandria describes TbPr14Tl after structural relaxation. The functional is GGA-PBE.

Cell and atoms, written as POSCAR:
```
TbPr14Tl
1.0
7.2514 0.9734 0.0000
-0.9724 7.2515 0.0000
0.0000 0.0000 10.4133
Tb Pr Tl
1 14 1
Direct
0.8749 0.1251 0.0000
0.3748 0.6252 0.5000
0.8754 0.1246 0.5000
0.8741 0.6246 0.0000
0.8752 0.6253 0.5000
0.3754 0.1259 0.0000
0.3747 0.1248 0.5000
0.6234 0.8734 0.7552
0.6234 0.8734 0.2448
0.1266 0.3766 0.7552
0.1266 0.3766 0.2448
0.1269 0.8731 0.7558
0.1269 0.8731 0.2442
0.6233 0.3767 0.7546
0.6233 0.3767 0.2454
0.3751 0.6249 0.0000
```

## Properties
- calculated volume (Å³/cell) = 557.43
- E_form (eV per atom) = -0.03
- crystal system = orthorhombic

(3)
This record from Alexandria describes BaRe2Hg after structural relaxation. The functional is GGA-PBE.

Cell and atoms, written as POSCAR:
```
BaRe2Hg
1.0
-1.2571 -4.6025 0.3519
3.7011 -0.7870 2.9274
-4.5277 -0.5239 9.4927
Re Hg Ba
4 2 2
Direct
0.9136 0.1250 0.2500
0.8364 0.6250 0.2500
0.3750 0.0864 0.7500
0.8750 0.1636 0.7500
0.0000 0.0000 0.0000
0.7500 0.2500 0.5000
0.5000 0.5000 0.0000
0.2500 0.7500 0.5000
```

## Properties
- calculated volume (Å³/cell) = 228.23
- E_form (eV per atom) = 1.11
- crystal system = tetragonal

(4)
This record from Alexandria describes CaReN3 after structural relaxation. The functional is GGA-PBE.

Cell and atoms, written as POSCAR:
```
CaReN3
1.0
-5.4701 -0.7363 1.2113
-1.7236 -4.4409 2.1214
-1.3693 2.6922 4.9137
Re Ca N
2 2 6
Direct
0.2828 0.3597 0.0388
0.9290 0.1288 0.1924
0.2740 0.7953 0.5512
0.7850 0.5814 0.7820
0.5601 0.3989 0.1673
0.0110 0.7375 0.0000
0.2692 0.0533 0.8745
0.6428 0.2316 0.6994
0.7781 0.9958 0.5160
0.1090 0.2542 0.3644
```

## Properties
- calculated volume (Å³/cell) = 133.52
- crystal system = triclinic
- formation energy (no corrections) (eV/f.u.) = -1.5

(5)
This record from Alexandria describes TlAsOsAu2 after structural relaxation. The functional is GGA-PBE.

Cell and atoms, written as POSCAR:
```
TlAsOsAu2
1.0
5.0644 0.0000 0.0000
0.0000 5.1993 0.0000
0.0000 0.0000 5.0644
Os Tl Au As
1 1 2 1
Direct
0.0000 0.0000 0.0000
0.0000 0.5000 0.0000
0.0000 0.0000 0.5000
0.5000 0.0000 0.0000
0.5000 0.5000 0.5000
```

## Properties
- calculated volume (Å³/cell) = 133.35
- E_form (eV per atom) = 1.25
- crystal system = tetragonal

(6)
This record from Alexandria describes Cs3ZnCl5 after structural relaxation. The functional is GGA-PBE.

Cell and atoms, written as POSCAR:
```
Cs3ZnCl5
1.0
-3.3491 7.6629 -5.3981
1.1743 -4.4400 -8.8309
-5.1250 -4.0462 7.5125
Cs Zn Cl
6 2 10
Direct
0.1680 0.6680 0.8360
0.3320 0.1680 0.5000
0.2500 0.2500 0.0000
0.8320 0.3320 0.1640
0.7500 0.7500 0.0000
0.6680 0.8320 0.5000
0.7500 0.2500 0.5000
0.2500 0.7500 0.5000
0.9800 0.2056 0.5000
0.7056 0.4800 0.5000
0.0200 0.7944 0.5000
0.0000 0.0000 0.0000
0.2056 0.7056 0.2256
0.7944 0.2944 0.7744
0.4800 0.9800 0.7744
0.2944 0.5200 0.5000
0.5200 0.0200 0.2256
0.5000 0.5000 0.0000
```

## Properties
- calculated volume (Å³/cell) = 659.07
- crystal system = tetragonal
- formation energy (no corrections) (eV/f.u.) = -15.9

(7)
This record from Alexandria describes Ba2NbInO6 after structural relaxation. The functional is GGA-PBE.

Cell and atoms, written as POSCAR:
```
Ba2NbInO6
1.0
-2.9209 -0.5296 -2.9599
2.2846 -3.0739 -1.7044
-3.9909 -5.7172 4.9614
Ba Nb In O
2 1 1 6
Direct
0.0000 0.0000 0.7680
0.0000 0.0000 0.2320
0.5000 0.5000 0.5000
0.5000 0.5000 0.0000
0.5000 0.0000 0.0000
0.5000 0.0000 0.5000
0.0000 0.5000 0.0000
0.0000 0.5000 0.5000
0.5000 0.5000 0.7294
0.5000 0.5000 0.2706
```

## Properties
- calculated volume (Å³/cell) = 150.38
- crystal system = tetragonal
- formation energy (no corrections) (eV/f.u.) = -24.9

(8)
This record from Alexandria describes Mg14CoSn after structural relaxation. The functional is GGA-PBE.

Cell and atoms, written as POSCAR:
```
Mg14CoSn
1.0
-1.2087 5.9007 1.6853
-4.2057 -4.5025 1.0761
4.1982 -1.7432 9.1143
Mg Co Sn
14 1 1
Direct
0.8335 0.1665 0.0000
0.3350 0.6650 0.0000
0.3344 0.1624 0.5000
0.3348 0.1703 0.0000
0.8376 0.6656 0.5000
0.8297 0.6652 0.0000
0.1552 0.3257 0.2651
0.1552 0.3257 0.7349
0.6743 0.8448 0.2651
0.6743 0.8448 0.7349
0.6723 0.3277 0.2624
0.6723 0.3277 0.7376
0.1660 0.8340 0.2446
0.1660 0.8340 0.7554
0.8309 0.1691 0.5000
0.3286 0.6714 0.5000
```

## Properties
- calculated volume (Å³/cell) = 344.39
- E_form (eV per atom) = 0.03
- crystal system = orthorhombic
- E above lowest polymorph (eV/atom) = 0.004

(9)
This record from Alexandria describes CaTa after structural relaxation. The functional is GGA-PBE.

Cell and atoms, written as POSCAR:
```
CaTa
1.0
-6.4739 -3.9409 -5.6589
1.0788 -8.2451 4.5077
-6.8110 2.4398 6.0928
Ca Ta
8 8
Direct
0.2079 0.2079 0.2079
0.2079 0.7921 0.7921
0.7921 0.2079 0.7921
0.7921 0.7921 0.2079
0.7079 0.7079 0.7079
0.7079 0.2921 0.2921
0.2921 0.7079 0.2921
0.2921 0.2921 0.7079
0.4039 0.4039 0.4039
0.4039 0.5961 0.5961
0.5961 0.4039 0.5961
0.5961 0.5961 0.4039
0.9039 0.9039 0.9039
0.9039 0.0961 0.0961
0.0961 0.9039 0.0961
0.0961 0.0961 0.9039
```

## Properties
- calculated volume (Å³/cell) = 846.22
- E_form (eV per atom) = 1.38
- crystal system = cubic
- E above lowest polymorph (eV/atom) = 1.024

(10)
This record from Alexandria describes La5TmGe4 after structural relaxation. The functional is GGA-PBE.

Cell and atoms, written as POSCAR:
```
La5TmGe4
1.0
-2.4474 -2.9277 -3.4440
6.1064 -3.2739 -1.5563
-6.1735 -0.8619 8.9557
La Tm Ge
5 1 4
Direct
0.8336 0.6755 0.6673
0.8365 0.1753 0.6729
0.1635 0.8247 0.3271
0.5000 0.5000 0.0000
0.1664 0.3245 0.3327
0.5000 0.0000 0.0000
0.3269 0.9027 0.6539
0.9923 0.7510 0.9845
0.6731 0.0973 0.3461
0.0077 0.2490 0.0155
```

## Properties
- calculated volume (Å³/cell) = 294.75
- E_form (eV per atom) = -0.64
- crystal system = monoclinic

What did we get for raw total energy? Answer: -5.6822; -4.6481; -5.6730; -8.1916; -3.7150; -3.2155; -7.1299; -2.0554; -5.5465; -5.3960 eV per atom, in the order shown.